[1]
Compound: SnH4I
Source: the Alexandria database
Functional: PBE-GGA
Structure: optimized geometry

```
12
Lattice="3.571 -8.465 0.000 3.571 8.465 0.000 -2.826 0.000 4.292" Properties=species:S:1:pos:R:3 pbc="T T T"
Sn 1.452 5.984 3.219
Sn 2.865 -5.984 1.073
H 1.570 4.984 1.821
H 0.774 1.439 1.151
H -0.639 -1.439 3.297
H 4.160 4.984 0.325
H 0.157 -4.984 3.967
H 4.955 1.439 0.995
H 3.543 -1.439 3.141
H 2.747 -4.984 2.470
I 2.865 1.686 1.073
I 1.452 -1.686 3.219
```

Calculated values
Symmetry = No. 15
Uncorrected energy = -2.86 eV/atom
Density = 3.2 g/cm3

***

[2]
Compound: SnH2I2
Source: the Alexandria database
Functional: PBE-GGA
Structure: optimized geometry

```
10
Lattice="3.881 -6.123 0.000 3.881 6.123 0.000 -2.937 0.000 7.298" Properties=species:S:1:pos:R:3 pbc="T T T"
Sn 3.881 4.107 0.000
Sn 3.881 -4.107 0.000
H 1.624 0.000 2.435
H 2.213 0.000 1.966
H 2.611 0.000 5.332
H 3.200 0.000 4.863
I -0.291 2.176 5.503
I -0.291 -2.176 5.503
I 5.115 2.176 1.795
I 5.115 -2.176 1.795
```

Calculated values
Symmetry = No. 12
Density = 3.6 g/cm3
Polymorph energy (0 for the lowest one) = 0 kJ/mol of formula units

***

[3]
Compound: SnH2I6
Source: the Alexandria database
Functional: PBE-GGA
Structure: optimized geometry

```
18
Lattice="10.310 -6.807 0.000 10.310 6.807 0.000 -1.924 0.000 6.141" Properties=species:S:1:pos:R:3 pbc="T T T"
Sn 8.866 3.439 4.606
Sn 9.829 -3.439 1.535
H 3.945 0.331 4.125
H 4.908 -0.331 1.055
H 13.787 0.331 5.086
H 14.750 -0.331 2.016
I 6.894 5.016 5.582
I 3.563 1.395 5.346
I 10.839 5.016 3.630
I 7.835 1.853 2.668
I 4.526 -1.395 2.276
I 11.822 1.853 0.402
I 6.873 -1.853 5.739
I 14.169 1.395 3.865
I 10.860 -1.853 3.472
I 7.856 -5.016 2.511
I 15.132 -1.395 0.795
I 11.801 -5.016 0.559
```

Calculated values
Symmetry = No. 15
Uncorrected energy = -2.41 eV/atom
Density = 3.4 g/cm3